Compound: ZnSOF2
Source: the Alexandria database
Functional: GGA-PBE
Structure: relaxed

The structure in POSCAR format:
```
ZnSOF2
1.0
4.5410 0.0000 0.0000
0.0000 4.5410 0.0000
0.0000 0.0000 3.4060
Zn S O F
1 1 1 2
Cartesian
0.0000 0.0000 0.0000
2.2705 2.2705 1.7030
2.2705 2.2705 0.0000
0.0000 2.2705 1.7030
2.2705 0.0000 1.7030
```

Output
Crystal system: tetragonal
Energy, eV per formula unit: -16.448
Energy relative to the elements, uncorrected, meV per atom: -469
Density of states at the Fermi level, states/eV per atom: 0.821